Record 1
Ac8CdAu2 PBE relaxed; uncorrected energy = -42.81 eV per cell; space-group type = No. 8; formation enthalpy at 0 K = -0.225 eV/atom
1.0
6.140 0.095 -1.010
-2.065 7.901 -3.458
0.088 -0.228 8.865
Ac Cd Au
8 1 2
Cartesian
2.909 2.667 -0.995
3.444 0.645 2.070
0.393 3.011 1.917
5.695 1.827 4.928
4.571 6.074 -1.509
3.741 4.817 2.524
0.666 7.169 2.366
1.202 5.146 5.431
0.142 0.026 -0.008
1.646 5.481 -0.169
2.479 2.333 4.603

Record 2
CaZnAg3 PBE relaxed; uncorrected energy = -11.66 eV per cell; space-group type = No. 221; formation enthalpy at 0 K = 0.033 eV/atom
1.0
-4.416 -0.288 2.148
-1.884 -1.902 -4.127
1.072 -4.527 1.597
Zn Ca Ag
1 1 3
Cartesian
0.000 0.000 0.000
-2.614 -3.359 -0.191
-0.942 -0.951 -2.063
0.536 -2.264 0.799
-2.208 -0.144 1.074

Record 3
MgSi3I PBE relaxed; uncorrected energy = -13.85 eV per cell; space-group type = No. 221
1.0
5.076 0.000 0.000
0.000 5.076 0.000
0.000 0.000 5.076
I Si Mg
1 3 1
Cartesian
2.538 2.538 2.538
0.000 2.538 0.000
0.000 0.000 2.538
2.538 0.000 0.000
0.000 0.000 0.000

Number 1: size of the total moment 0.0 Bohr magnetons per cell, V 427.16 Å³/cell. Number 2: size of the total moment 0.0 Bohr magnetons per cell, V 119.03 Å³/cell. Number 3: size of the total moment 0.0 Bohr magnetons per cell, V 130.79 Å³/cell.